The following is a GGA+U calculation of a relaxed SrAcFeO4 crystal, from the Alexandria database.

Values from the calculation:
**Total DFT energy (no corrections)**: -7.040 eV/atom
**Total magnetic moment**: 5.0 μB per formula unit

Cell and atoms, written as POSCAR:
```
SrAcFeO4
1.0
3.9553 0.0000 0.0000
0.0000 3.9553 0.0000
0.0000 0.0000 13.0039
Sr Ac Fe O
2 2 2 8
Cartesian
0.0000 0.0000 0.0000 Sr
1.9777 1.9777 6.5020 Sr
0.0000 0.0000 3.6775 Ac
1.9777 1.9777 10.1795 Ac
0.0000 0.0000 8.2085 Fe
1.9777 1.9777 1.7065 Fe
0.0000 0.0000 6.1749 O
0.0000 0.0000 10.5376 O
0.0000 1.9777 1.8884 O
0.0000 1.9777 8.3904 O
1.9777 0.0000 1.8884 O
1.9777 0.0000 8.3904 O
1.9777 1.9777 4.0357 O
1.9777 1.9777 12.6769 O
```